Entry 1:
Compound: FeCu2Ir
Source: Alexandria
Functional: GGA-PBE
Structure: optimized geometry

DFT total energy, eV for the cell shown: -25.2
Space group: R3m, No. 160
Energy above the lowest structure with this stoichiometry, eV/atom: 0.009

Unit cell a=8.616 b=8.616 c=8.616 alpha=17.68 beta=17.68 gamma=17.68
Each line ends with the local moment (μB).
Element x y z (fractional)
Ir  0.752  0.752  0.752  0.04
Fe  0.501  0.501  0.501  2.56
Cu  0.997  0.997  0.997  0.02
Cu  0.250  0.250  0.250  0.03



Entry 2:
Compound: CaTbPb6
Source: Alexandria
Functional: GGA-PBE
Structure: optimized geometry

DFT total energy, eV for the cell shown: -31.4
Space group: P4/mmm, No. 123

Unit cell a=4.880 b=4.880 c=9.933 alpha=90.00 beta=90.00 gamma=90.00
Element x y z (fractional)
Ca  0.000  0.000  0.000
Tb  0.000  0.000  0.500
Pb  0.500  0.500  0.000
Pb  0.500  0.500  0.500
Pb  0.500  0.000  0.251
Pb  0.500  0.000  0.749
Pb  0.000  0.500  0.251
Pb  0.000  0.500  0.749



Entry 3:
Compound: FeHOs2N
Source: Alexandria
Functional: GGA-PBE
Structure: optimized geometry

DFT total energy, eV for the cell shown: -36.3
Space group: P4/mmm, No. 123

Unit cell a=4.344 b=2.638 c=4.344 alpha=90.00 beta=90.00 gamma=90.00
Element x y z (fractional)
H  0.000  0.000  0.000
Os  0.000  0.000  0.500
Os  0.500  0.000  0.000
Fe  0.500  0.500  0.500
N  0.000  0.500  0.000



Number 1: density of states at the Fermi level 4.25 states/eV/f.u.. Number 2: density of states at the Fermi level 4.05 states/eV/f.u.. Number 3: density of states at the Fermi level 6.08 states/eV/f.u..